1.
# GGA-PBE BeTlHg, relaxed
data_BeTlHg
_chemical_formula_sum 'Be1 Tl1 Hg1'
_cell_length_a 3.5967
_cell_length_b 3.5967
_cell_length_c 5.7547
_cell_angle_alpha 90.00
_cell_angle_beta 90.00
_cell_angle_gamma 120.00
_symmetry_space_group_name_H-M 'P 3 m 1'
_symmetry_Int_Tables_number 156
_symmetry_space_group_name_Hall 'P 3 -2"'
loop_
_atom_site_label
_atom_site_type_symbol
_atom_site_fract_x
_atom_site_fract_y
_atom_site_fract_z
Be1 Be 0.0000 0.0000 0.0000
Tl1 Tl 0.3333 0.6667 0.6785
Hg1 Hg 0.6667 0.3333 0.2360
# * E_form: 445 meV per atom
# * uncorrected energy: -5.06 eV/cell
# * offset from the most stable computed form: 0.62 kcal/mol of atoms
# * Fermi-level density of states: 1.12 states/eV/cell
# * calculated volume: 21.490 Å³/atom

=====

2.
# GGA-PBE LiScAu3, relaxed
data_LiScAu3
_chemical_formula_sum 'Li2 Sc2 Au6'
_cell_length_a 4.2396
_cell_length_b 7.2005
_cell_length_c 6.7580
_cell_angle_alpha 90.00
_cell_angle_beta 108.03
_cell_angle_gamma 90.00
_symmetry_space_group_name_H-M 'P 1 21/m 1'
_symmetry_Int_Tables_number 11
_symmetry_space_group_name_Hall '-P 2yb'
loop_
_atom_site_label
_atom_site_type_symbol
_atom_site_fract_x
_atom_site_fract_y
_atom_site_fract_z
Li1 Li 0.1546 0.2500 0.3080
Sc1 Sc 0.1519 0.7500 0.3006
Au1 Au 0.3272 0.5172 0.6564
Au2 Au 0.4941 0.2500 0.9931
# * E_form: -524 meV per atom
# * uncorrected energy: -41.40 eV/cell
# * offset from the most stable computed form: 0.00 kcal/mol of atoms
# * Fermi-level density of states: 4.69 states/eV/cell
# * calculated volume: 19.618 Å³/atom

=====

3.
# GGA-PBE LaY2Os, relaxed
data_LaY2Os
_chemical_formula_sum 'La1 Y2 Os1'
_cell_length_a 3.5797
_cell_length_b 4.7081
_cell_length_c 6.4501
_cell_angle_alpha 90.00
_cell_angle_beta 105.90
_cell_angle_gamma 90.00
_symmetry_space_group_name_H-M 'P 1 2/m 1'
_symmetry_Int_Tables_number 10
_symmetry_space_group_name_Hall '-P 2y'
loop_
_atom_site_label
_atom_site_type_symbol
_atom_site_fract_x
_atom_site_fract_y
_atom_site_fract_z
La1 La 0.0000 0.0000 0.0000
Y1 Y 0.3250 0.5000 0.7136
Os1 Os 0.5000 0.0000 0.5000
# * E_form: 153 meV per atom
# * uncorrected energy: -28.47 eV/cell
# * offset from the most stable computed form: 8.29 kcal/mol of atoms
# * Fermi-level density of states: 4.41 states/eV/cell
# * calculated volume: 26.137 Å³/atom

=====

4.
# GGA-PBE ZnRh5, relaxed
data_ZnRh5
_chemical_formula_sum 'Zn1 Rh5'
_cell_length_a 4.7153
_cell_length_b 4.7153
_cell_length_c 4.4176
_cell_angle_alpha 90.00
_cell_angle_beta 90.00
_cell_angle_gamma 120.00
_symmetry_space_group_name_H-M 'P -6 2 m'
_symmetry_Int_Tables_number 189
_symmetry_space_group_name_Hall 'P -6 -2'
loop_
_atom_site_label
_atom_site_type_symbol
_atom_site_fract_x
_atom_site_fract_y
_atom_site_fract_z
Zn1 Zn 0.0000 0.0000 0.0000
Rh1 Rh 0.0000 0.6662 0.5000
Rh2 Rh 0.3333 0.6667 0.0000
# * E_form: -49 meV per atom
# * uncorrected energy: -38.33 eV/cell
# * Fermi-level density of states: 8.51 states/eV/cell
# * calculated volume: 14.177 Å³/atom

=====

5.
# GGA-PBE SrPBr, relaxed
data_SrPBr
_chemical_formula_sum 'Sr4 P4 Br4'
_cell_length_a 7.2960
_cell_length_b 7.2960
_cell_length_c 7.2960
_cell_angle_alpha 90.00
_cell_angle_beta 90.00
_cell_angle_gamma 90.00
_symmetry_space_group_name_H-M 'F -4 3 m'
_symmetry_Int_Tables_number 216
_symmetry_space_group_name_Hall 'F -4 2 3'
loop_
_atom_site_label
_atom_site_type_symbol
_atom_site_fract_x
_atom_site_fract_y
_atom_site_fract_z
Sr1 Sr 0.0000 0.0000 0.0000
P1 P 0.0000 0.0000 0.5000
Br1 Br 0.2500 0.2500 0.2500
# * uncorrected energy: -39.04 eV/cell
# * offset from the most stable computed form: 21.74 kcal/mol of atoms
# * formation energy without anion corrections: -0.332 eV per atom
# * Fermi-level density of states: 8.16 states/eV/cell
# * calculated volume: 32.365 Å³/atom

=====

6.
# GGA-PBE AcSmErAg, relaxed
data_AcSmErAg
_chemical_formula_sum 'Ac4 Sm4 Er4 Ag4'
_cell_length_a 7.9021
_cell_length_b 7.9021
_cell_length_c 7.9021
_cell_angle_alpha 90.00
_cell_angle_beta 90.00
_cell_angle_gamma 90.00
_symmetry_space_group_name_H-M 'F -4 3 m'
_symmetry_Int_Tables_number 216
_symmetry_space_group_name_Hall 'F -4 2 3'
loop_
_atom_site_label
_atom_site_type_symbol
_atom_site_fract_x
_atom_site_fract_y
_atom_site_fract_z
Ac1 Ac 0.0000 0.0000 0.0000
Sm1 Sm 0.2500 0.2500 0.7500
Er1 Er 0.2500 0.2500 0.2500
Ag1 Ag 0.0000 0.0000 0.5000
# * E_form: 179 meV per atom
# * uncorrected energy: -62.10 eV/cell
# * Fermi-level density of states: 24.60 states/eV/cell
# * calculated volume: 30.840 Å³/atom

=====

7.
# GGA-PBE Pm8MgCd2, relaxed
data_Pm8MgCd2
_chemical_formula_sum 'Pm16 Mg2 Cd4'
_cell_length_a 18.3955
_cell_length_b 5.3660
_cell_length_c 7.3813
_cell_angle_alpha 90.00
_cell_angle_beta 107.11
_cell_angle_gamma 90.00
_symmetry_space_group_name_H-M 'C 1 2/m 1'
_symmetry_Int_Tables_number 12
_symmetry_space_group_name_Hall '-C 2y'
loop_
_atom_site_label
_atom_site_type_symbol
_atom_site_fract_x
_atom_site_fract_y
_atom_site_fract_z
Pm1 Pm 0.0249 0.0000 0.2586
Pm2 Pm 0.0920 0.5000 0.9650
Pm3 Pm 0.1676 0.5000 0.4588
Pm4 Pm 0.1884 0.0000 0.7814
Mg1 Mg 0.0000 0.5000 0.5000
Cd1 Cd 0.1884 0.0000 0.2015
# * E_form: -69 meV per atom
# * uncorrected energy: -84.37 eV/cell
# * offset from the most stable computed form: 1.10 kcal/mol of atoms
# * Fermi-level density of states: 22.86 states/eV/cell
# * calculated volume: 31.653 Å³/atom

=====

8.
# GGA-PBE YTaPd2W, relaxed
data_YTaPd2W
_chemical_formula_sum 'Y1 Ta1 Pd2 W1'
_cell_length_a 4.7999
_cell_length_b 4.7999
_cell_length_c 5.1506
_cell_angle_alpha 90.00
_cell_angle_beta 90.00
_cell_angle_gamma 90.00
_symmetry_space_group_name_H-M 'P 4/m m m'
_symmetry_Int_Tables_number 123
_symmetry_space_group_name_Hall '-P 4 2'
loop_
_atom_site_label
_atom_site_type_symbol
_atom_site_fract_x
_atom_site_fract_y
_atom_site_fract_z
Y1 Y 0.0000 0.0000 0.0000
Ta1 Ta 0.5000 0.5000 0.0000
Pd1 Pd 0.0000 0.5000 0.5000
W1 W 0.0000 0.0000 0.5000
# * E_form: 1425 meV per atom
# * uncorrected energy: -34.53 eV/cell
# * Fermi-level density of states: 3.77 states/eV/cell
# * calculated volume: 23.733 Å³/atom

=====

What did the fourth record say?
# GGA-PBE ZnRh5, relaxed
data_ZnRh5
_chemical_formula_sum 'Zn1 Rh5'
_cell_length_a 4.7153
_cell_length_b 4.7153
_cell_length_c 4.4176
_cell_angle_alpha 90.00
_cell_angle_beta 90.00
_cell_angle_gamma 120.00
_symmetry_space_group_name_H-M 'P -6 2 m'
_symmetry_Int_Tables_number 189
_symmetry_space_group_name_Hall 'P -6 -2'
loop_
_atom_site_label
_atom_site_type_symbol
_atom_site_fract_x
_atom_site_fract_y
_atom_site_fract_z
Zn1 Zn 0.0000 0.0000 0.0000
Rh1 Rh 0.0000 0.6662 0.5000
Rh2 Rh 0.3333 0.6667 0.0000
# * E_form: -49 meV per atom
# * uncorrected energy: -38.33 eV/cell
# * Fermi-level density of states: 8.51 states/eV/cell
# * calculated volume: 14.177 Å³/atom

=====

Q: Among the records above, which one has the highest calculated volume?
A: SrPBr

=====

Q: Which of these has the lowest calculated volume?
A: ZnRh5

=====

Repeat the fourth record exactly.
# GGA-PBE ZnRh5, relaxed
data_ZnRh5
_chemical_formula_sum 'Zn1 Rh5'
_cell_length_a 4.7153
_cell_length_b 4.7153
_cell_length_c 4.4176
_cell_angle_alpha 90.00
_cell_angle_beta 90.00
_cell_angle_gamma 120.00
_symmetry_space_group_name_H-M 'P -6 2 m'
_symmetry_Int_Tables_number 189
_symmetry_space_group_name_Hall 'P -6 -2'
loop_
_atom_site_label
_atom_site_type_symbol
_atom_site_fract_x
_atom_site_fract_y
_atom_site_fract_z
Zn1 Zn 0.0000 0.0000 0.0000
Rh1 Rh 0.0000 0.6662 0.5000
Rh2 Rh 0.3333 0.6667 0.0000
# * E_form: -49 meV per atom
# * uncorrected energy: -38.33 eV/cell
# * Fermi-level density of states: 8.51 states/eV/cell
# * calculated volume: 14.177 Å³/atom